A plane-wave DFT calculation with GGA-PBEsol was carried out for Ba2YCrS after structural relaxation.

Calculated values
SG ... No. 123
ΔE_f (raw) ... -0.16 eV/atom

abc: 6.037 6.037 5.140
angles: 90.00 90.00 90.00
Element x y z (fractional)
Ba 0.000 0.500 0.000
Ba 0.500 0.000 0.000
Y 0.000 0.000 0.500
Cr 0.500 0.500 0.500
S 0.000 0.000 0.000


A plane-wave DFT calculation with GGA-PBEsol was carried out for BaCrSb after structural relaxation.

Calculated values
SG ... No. 216
ΔE_f (raw) ... 0.01 eV/atom

abc: 7.172 7.172 7.172
angles: 90.00 90.00 90.00
Element x y z (fractional)
Ba 0.000 0.000 0.000
Ba 0.000 0.500 0.500
Ba 0.500 0.000 0.500
Ba 0.500 0.500 0.000
Cr 0.250 0.250 0.750
Cr 0.250 0.750 0.250
Cr 0.750 0.250 0.250
Cr 0.750 0.750 0.750
Sb 0.000 0.000 0.500
Sb 0.000 0.500 0.000
Sb 0.500 0.000 0.000
Sb 0.500 0.500 0.500


A plane-wave DFT calculation with GGA-PBEsol was carried out for BaCrSbTe2 after structural relaxation.

Calculated values
SG ... No. 123
ΔE_f (raw) ... 1.11 eV/atom

abc: 6.255 6.255 6.107
angles: 90.00 90.00 90.00
Element x y z (fractional)
Ba 0.000 0.000 0.000
Cr 0.500 0.500 0.500
Sb 0.000 0.000 0.500
Te 0.000 0.500 0.000
Te 0.500 0.000 0.000


no.,calculated volume (A^3/atom)
1,37.47
2,30.74
3,47.80